No. 1
Th2MnTc3 | PBE-GGA | relaxed

```
Th2MnTc3
1.0
9.2290 0.0000 0.0000
0.0000 5.4833 0.0000
-3.1194 0.0000 4.5883
Th Mn Tc
4 2 6
direct
0.1219 0.0000 0.3669
0.3781 0.5000 0.6331
0.6219 0.5000 0.3669
0.8781 0.0000 0.6331
0.0000 0.5000 0.5000
0.5000 0.0000 0.5000
0.0000 0.5000 0.0000
0.2500 0.2500 0.0000
0.2500 0.7500 0.0000
0.5000 0.0000 0.0000
0.7500 0.2500 0.0000
0.7500 0.7500 0.0000
```

***

No. 2
Th4MnTc | PBE-GGA | relaxed

```
Th4MnTc
1.0
6.3248 0.0000 0.0000
-1.1098 7.0359 0.0000
-0.5984 -0.2273 7.1344
Th Mn Tc
8 2 2
direct
0.1540 0.1299 0.3272
0.2163 0.3078 0.8239
0.2932 0.7900 0.9900
0.3109 0.6568 0.4567
0.6891 0.3432 0.5433
0.7068 0.2100 0.0100
0.7837 0.6922 0.1761
0.8460 0.8701 0.6728
0.4517 0.4157 0.1812
0.5483 0.5843 0.8188
0.3904 0.9987 0.6745
0.6096 0.0013 0.3255
```

***

No. 3
Th2MnTc | PBE-GGA | relaxed

```
Th2MnTc
1.0
3.5441 0.0000 0.0000
0.0000 3.5441 0.0000
0.0000 0.0000 7.3544
Th Mn Tc
2 1 1
direct
0.0000 0.0000 0.2423
0.0000 0.0000 0.7577
0.5000 0.5000 0.5000
0.5000 0.5000 0.0000
```

Properties
**Polymorph energy (0 for the lowest one)**: 0 meV/atom

***

No. 4
ThMnTc | PBE-GGA | relaxed

```
ThMnTc
1.0
0.0000 4.9060 4.3625
2.7674 0.0000 4.3625
2.7674 4.9060 0.0000
Th Mn Tc
2 2 2
direct
0.0000 0.0000 0.0000
0.2500 0.2500 0.2500
0.6393 0.6393 0.3607
0.8893 0.8893 0.6107
0.3381 0.3381 0.6619
0.5881 0.5881 0.9119
```

Properties
**Polymorph energy (0 for the lowest one)**: 384 meV/atom

***

No. 5
Th2MnTc | PBE-GGA | relaxed

```
Th2MnTc
1.0
3.3231 0.0000 0.0000
-1.6616 2.8779 0.0000
0.0000 0.0000 30.5040
Th Mn Tc
6 3 3
direct
0.0000 0.0000 0.0839
0.0000 0.0000 0.9161
0.3333 0.6667 0.5828
0.3333 0.6667 0.7505
0.6667 0.3333 0.2495
0.6667 0.3333 0.4172
0.0000 0.0000 0.5000
0.3333 0.6667 0.1667
0.6667 0.3333 0.8333
0.0000 0.0000 0.0000
0.3333 0.6667 0.6667
0.6667 0.3333 0.3333
```

Properties
**Polymorph energy (0 for the lowest one)**: 611 meV/atom

***

No. 6
ThUMnTc | PBE-GGA | relaxed

```
ThUMnTc
1.0
7.2355 0.0000 0.0000
0.0000 4.3480 0.0000
-2.3525 0.0000 5.3349
Th U Mn Tc
2 2 2 2
direct
0.0000 0.0000 0.0000
0.5000 0.5000 0.0000
0.0006 0.5000 0.5252
0.5006 0.0000 0.5252
0.2142 0.0000 0.5921
0.7142 0.5000 0.5921
0.2801 0.5000 0.3448
0.7801 0.0000 0.3448
```

***

No. 7
ThZrMnTc | PBE-GGA | relaxed

```
ThZrMnTc
1.0
6.8267 0.0000 0.0000
0.0000 6.8267 0.0000
0.0000 0.0000 6.8267
Th Zr Mn Tc
4 4 4 4
direct
0.0000 0.0000 0.0000
0.0000 0.5000 0.5000
0.5000 0.0000 0.5000
0.5000 0.5000 0.0000
0.0000 0.0000 0.5000
0.0000 0.5000 0.0000
0.5000 0.0000 0.0000
0.5000 0.5000 0.5000
0.2500 0.2500 0.2500
0.2500 0.7500 0.7500
0.7500 0.2500 0.7500
0.7500 0.7500 0.2500
0.2500 0.2500 0.7500
0.2500 0.7500 0.2500
0.7500 0.2500 0.2500
0.7500 0.7500 0.7500
```

***

No. 8
Ti5MnTc6 | PBE-GGA | relaxed

```
Ti5MnTc6
1.0
2.1784 -6.5422 0.0000
2.1784 6.5422 0.0000
0.0000 0.0000 6.1548
Ti Mn Tc
5 1 6
direct
0.0000 0.0000 0.0000
0.3340 0.6660 0.0000
0.3336 0.6664 0.5000
0.6660 0.3340 0.0000
0.6664 0.3336 0.5000
0.0000 0.0000 0.5000
0.1636 0.8364 0.2524
0.1636 0.8364 0.7476
0.5000 0.5000 0.2555
0.5000 0.5000 0.7445
0.8364 0.1636 0.2524
0.8364 0.1636 0.7476
```

***

No. 9
Ti3MnTc2 | PBE-GGA | relaxed

```
Ti3MnTc2
1.0
3.0653 0.0000 0.0000
0.0000 3.0653 0.0000
0.0000 0.0000 9.2216
Ti Mn Tc
3 1 2
direct
0.0000 0.0000 0.0000
0.0000 0.0000 0.3401
0.0000 0.0000 0.6599
0.5000 0.5000 0.5000
0.5000 0.5000 0.1708
0.5000 0.5000 0.8292
```

***

No. 10
TiMn2Tc2 | PBE-GGA | relaxed

```
TiMn2Tc2
1.0
7.0117 0.0000 0.0000
0.0000 7.0117 0.0000
0.0000 0.0000 2.7855
Ti Mn Tc
2 4 4
direct
0.0000 0.0000 0.0000
0.5000 0.5000 0.0000
0.1302 0.3698 0.0000
0.3698 0.8698 0.0000
0.6302 0.1302 0.0000
0.8698 0.6302 0.0000
0.1681 0.6681 0.5000
0.3319 0.1681 0.5000
0.6681 0.8319 0.5000
0.8319 0.3319 0.5000
```

***

No. 11
TiMn4Tc | PBE-GGA | relaxed

```
TiMn4Tc
1.0
0.0000 3.3275 3.3275
3.3275 0.0000 3.3275
3.3275 3.3275 0.0000
Ti Mn Tc
1 4 1
direct
0.0000 0.0000 0.0000
0.3730 0.3730 0.3730
0.3730 0.3730 0.8811
0.3730 0.8811 0.3730
0.8811 0.3730 0.3730
0.7500 0.7500 0.7500
```

***

No. 12
Ti4MnTc3 | PBE-GGA | relaxed

```
Ti4MnTc3
1.0
3.0814 0.0000 0.0000
0.0000 3.0814 0.0000
0.0000 0.0000 12.3186
Ti Mn Tc
4 1 3
direct
0.0000 0.0000 0.1207
0.0000 0.0000 0.3731
0.0000 0.0000 0.6269
0.0000 0.0000 0.8793
0.5000 0.5000 0.0000
0.5000 0.5000 0.2456
0.5000 0.5000 0.5000
0.5000 0.5000 0.7544
```

***

No. 13
Ti4MnTc5 | PBE-GGA | relaxed

```
Ti4MnTc5
1.0
3.0847 0.0000 0.0000
0.0000 3.0847 0.0000
0.0000 0.0000 15.3776
Ti Mn Tc
4 1 5
direct
0.0000 0.0000 0.1015
0.0000 0.0000 0.3031
0.0000 0.0000 0.6969
0.0000 0.0000 0.8985
0.0000 0.0000 0.5000
0.5000 0.5000 0.0000
0.5000 0.5000 0.2042
0.5000 0.5000 0.4068
0.5000 0.5000 0.5932
0.5000 0.5000 0.7958
```

***

No. 14
Ti3Mn2Tc | PBE-GGA | relaxed

```
Ti3Mn2Tc
1.0
3.0391 0.0000 0.0000
0.0000 3.0391 0.0000
0.0000 0.0000 9.0922
Ti Mn Tc
3 2 1
direct
0.0000 0.0000 0.0000
0.0000 0.0000 0.3284
0.0000 0.0000 0.6716
0.5000 0.5000 0.1609
0.5000 0.5000 0.8391
0.5000 0.5000 0.5000
```

***

Number 1: energy of formation -0.105 eV/atom. Number 2: energy of formation 0.022 eV/atom. Number 3: energy of formation 0.107 eV/atom. Number 4: energy of formation 0.316 eV/atom. Number 5: energy of formation 0.718 eV/atom. Number 6: energy of formation -0.069 eV/atom. Number 7: energy of formation -0.012 eV/atom. Number 8: energy of formation -0.403 eV/atom. Number 9: energy of formation -0.395 eV/atom. Number 10: energy of formation 0.050 eV/atom. Number 11: energy of formation -0.136 eV/atom. Number 12: energy of formation -0.416 eV/atom. Number 13: energy of formation -0.376 eV/atom. Number 14: energy of formation -0.313 eV/atom.